# LiLaNdGa | Alexandria | PBE | relaxed
data_LiLaNdGa
_cell_length_a 7.5158
_cell_length_b 7.5158
_cell_length_c 7.5158
_cell_angle_alpha 90.00
_cell_angle_beta 90.00
_cell_angle_gamma 90.00
_space_group_name_H-M_alt 'F -4 3 m'
_space_group_IT_number 216
_space_group_name_Hall 'F -4 2 3'
loop_
_atom_site_label
_atom_site_fract_x
_atom_site_fract_y
_atom_site_fract_z
_atom_site_occupancy
Li1 0.0000 0.0000 0.0000 1
La1 0.2500 0.2500 0.2500 1
Nd1 0.2500 0.2500 0.7500 1
Ga1 0.0000 0.0000 0.5000 1
# density	5.63	Mg/m³
# calculated formation energy	-0.294	eV per atom